The following is a PBE-GGA calculation of a relaxed ZrCrOsC2 crystal, from the Alexandria database.

```
ZrCrOsC2
1.0
4.1194 0.0000 0.0000
0.0000 4.1194 0.0000
0.0000 0.0000 5.1809
Zr Cr Os C
1 1 1 2
direct
0.0000 0.0000 0.0000
0.5000 0.5000 0.5000
0.0000 0.0000 0.5000
0.0000 0.5000 0.0000
0.5000 0.0000 0.0000
```

Crystal system = tetragonal
Raw total energy = -6.8552 eV per atom
DFT formation energy = 2.715 eV/atom

The following is a PBE-GGA calculation of a relaxed CrPC3 crystal, from the Alexandria database.

```
CrPC3
1.0
3.8393 0.0000 0.0000
0.0000 3.8393 0.0000
0.0000 0.0000 3.8393
Cr P C
1 1 3
direct
0.0000 0.0000 0.0000
0.5000 0.5000 0.5000
0.0000 0.0000 0.5000
0.0000 0.5000 0.0000
0.5000 0.0000 0.0000
```

Offset from the most stable computed form = 0.43 eV/f.u.
Crystal system = cubic
Raw total energy = -6.3641 eV per atom
DFT formation energy = 2.177 eV/atom

The following is a PBE-GGA calculation of a relaxed CrP2C crystal, from the Alexandria database.

```
CrP2C
1.0
-2.5928 2.5928 3.8451
2.5928 -2.5928 3.8451
2.5928 2.5928 -3.8451
Cr P C
2 4 2
direct
0.0000 0.0000 0.0000
0.7500 0.2500 0.5000
0.1936 0.6250 0.0686
0.3750 0.4436 0.5686
0.5564 0.1250 0.9314
0.8750 0.8064 0.4314
0.2500 0.7500 0.5000
0.5000 0.5000 0.0000
```

Crystal system = tetragonal
Raw total energy = -7.0717 eV per atom
DFT formation energy = 0.345 eV/atom

The following is a PBE-GGA calculation of a relaxed CrP3C crystal, from the Alexandria database.

```
CrP3C
1.0
4.3659 0.0000 0.0000
0.0000 4.3659 0.0000
0.0000 0.0000 4.3659
Cr P C
1 3 1
direct
0.0000 0.0000 0.0000
0.0000 0.0000 0.5000
0.0000 0.5000 0.0000
0.5000 0.0000 0.0000
0.5000 0.5000 0.5000
```

Offset from the most stable computed form = 2.01 eV/f.u.
Crystal system = cubic
Raw total energy = -5.4380 eV per atom
DFT formation energy = 1.577 eV/atom

The following is a PBE-GGA calculation of a relaxed Cr3PC crystal, from the Alexandria database.

```
Cr3PC
1.0
2.8969 0.0000 0.0000
0.0000 5.3210 0.0000
0.0000 0.0000 6.9524
Cr P C
6 2 2
direct
0.2500 0.0019 0.1540
0.2500 0.4981 0.1540
0.2500 0.7500 0.5996
0.7500 0.2500 0.4004
0.7500 0.5019 0.8460
0.7500 0.9981 0.8460
0.2500 0.2500 0.6626
0.7500 0.7500 0.3374
0.2500 0.7500 0.9302
0.7500 0.2500 0.0698
```

Offset from the most stable computed form = 0.55 eV/f.u.
Crystal system = orthorhombic
Raw total energy = -8.8535 eV per atom
DFT formation energy = -0.153 eV/atom

The following is a PBE-GGA calculation of a relaxed Cr6PC crystal, from the Alexandria database.

```
Cr6PC
1.0
5.0086 0.0000 0.0000
2.4982 4.3441 0.0000
2.4981 1.4515 4.3111
Cr P C
6 1 1
direct
0.0213 0.4371 0.2392
0.1979 0.9793 0.7608
0.4365 0.8017 0.2405
0.5635 0.1983 0.7595
0.8021 0.0207 0.2392
0.9787 0.5629 0.7608
0.5000 0.5000 0.0000
0.0000 0.0000 0.5000
```

Crystal system = triclinic
Raw total energy = -8.8609 eV per atom
DFT formation energy = 0.186 eV/atom

The following is a PBE-GGA calculation of a relaxed Cr3PC crystal, from the Alexandria database.

```
Cr3PC
1.0
3.7988 0.0000 0.0000
0.0000 3.7988 0.0000
0.0000 0.0000 3.7988
Cr P C
3 1 1
direct
0.0000 0.0000 0.5000
0.0000 0.5000 0.0000
0.5000 0.0000 0.0000
0.5000 0.5000 0.5000
0.0000 0.0000 0.0000
```

Offset from the most stable computed form = 1.78 eV/f.u.
Crystal system = cubic
Raw total energy = -8.6086 eV per atom
DFT formation energy = 0.092 eV/atom

The following is a PBE-GGA calculation of a relaxed Cr3PC crystal, from the Alexandria database.

```
Cr3PC
1.0
1.4765 -4.9192 0.0000
1.4765 4.9192 0.0000
0.0000 0.0000 7.2784
Cr P C
6 2 2
direct
0.0576 0.9424 0.7500
0.3708 0.6292 0.5569
0.3708 0.6292 0.9431
0.6292 0.3708 0.0569
0.6292 0.3708 0.4431
0.9424 0.0576 0.2500
0.2587 0.7413 0.2500
0.7413 0.2587 0.7500
0.0000 0.0000 0.0000
0.0000 0.0000 0.5000
```

Offset from the most stable computed form = 0.00 eV/f.u.
Crystal system = orthorhombic
Raw total energy = -8.9639 eV per atom
DFT formation energy = -0.263 eV/atom

The following is a PBE-GGA calculation of a relaxed CrP3C crystal, from the Alexandria database.

```
CrP3C
1.0
3.9284 0.0000 0.0000
0.0000 3.9284 0.0000
0.0000 0.0000 3.9284
Cr P C
1 3 1
direct
0.0000 0.0000 0.0000
0.0000 0.5000 0.5000
0.5000 0.0000 0.5000
0.5000 0.5000 0.0000
0.5000 0.5000 0.5000
```

Offset from the most stable computed form = 0.00 eV/f.u.
Crystal system = cubic
Raw total energy = -5.8403 eV per atom
DFT formation energy = 1.175 eV/atom

The following is a PBE-GGA calculation of a relaxed CrPC3 crystal, from the Alexandria database.

```
CrPC3
1.0
3.5789 0.0000 0.0000
0.0000 3.5789 0.0000
0.0000 0.0000 3.5789
Cr P C
1 1 3
direct
0.0000 0.0000 0.0000
0.5000 0.5000 0.5000
0.0000 0.5000 0.5000
0.5000 0.0000 0.5000
0.5000 0.5000 0.0000
```

Offset from the most stable computed form = 0.00 eV/f.u.
Crystal system = cubic
Raw total energy = -6.4509 eV per atom
DFT formation energy = 2.090 eV/atom

The following is a PBE-GGA calculation of a relaxed CrRePC2 crystal, from the Alexandria database.

```
CrRePC2
1.0
3.5685 0.0000 0.0000
0.0000 3.5685 0.0000
0.0000 0.0000 4.5745
Cr Re P C
1 1 1 2
direct
0.0000 0.0000 0.0000
0.5000 0.5000 0.0000
0.0000 0.0000 0.5000
0.0000 0.5000 0.5000
0.5000 0.0000 0.5000
```

Crystal system = tetragonal
Raw total energy = -7.0868 eV per atom
DFT formation energy = 2.099 eV/atom

The following is a PBE-GGA calculation of a relaxed Cr2PRhC crystal, from the Alexandria database.

```
Cr2PRhC
1.0
4.5573 0.0000 0.0000
0.0000 4.5573 0.0000
0.0000 0.0000 3.4549
Cr P Rh C
2 1 1 1
direct
0.0000 0.5000 0.0000
0.5000 0.0000 0.0000
0.0000 0.0000 0.0000
0.5000 0.5000 0.5000
0.0000 0.0000 0.5000
```

Crystal system = tetragonal
Raw total energy = -7.0708 eV per atom
DFT formation energy = 1.176 eV/atom

The following is a PBE-GGA calculation of a relaxed CrP2CS crystal, from the Alexandria database.

```
CrP2CS
1.0
3.9660 0.0000 0.0000
0.0000 3.9660 0.0000
0.0000 0.0000 4.1789
Cr P C S
1 2 1 1
direct
0.0000 0.0000 0.0000
0.0000 0.5000 0.5000
0.5000 0.0000 0.5000
0.5000 0.5000 0.5000
0.5000 0.5000 0.0000
```

Offset from the most stable computed form = 0.00 eV/f.u.
Crystal system = tetragonal
Raw total energy = -5.7286 eV per atom
ΔE_f (raw) = 1.030 eV per atom

The following is a PBE-GGA calculation of a relaxed CrPCS2 crystal, from the Alexandria database.

```
CrPCS2
1.0
4.3836 0.0000 0.0000
0.0000 4.3836 0.0000
0.0000 0.0000 4.5528
Cr P C S
1 1 1 2
direct
0.0000 0.0000 0.0000
0.0000 0.0000 0.5000
0.5000 0.5000 0.5000
0.0000 0.5000 0.0000
0.5000 0.0000 0.0000
```

Offset from the most stable computed form = 1.20 eV/f.u.
Crystal system = tetragonal
Raw total energy = -4.9527 eV per atom
ΔE_f (raw) = 1.550 eV per atom

The following is a PBE-GGA calculation of a relaxed CrP2CS crystal, from the Alexandria database.

```
CrP2CS
1.0
4.4626 0.0000 0.0000
0.0000 4.4626 0.0000
0.0000 0.0000 4.2753
Cr P C S
1 2 1 1
direct
0.0000 0.0000 0.0000
0.0000 0.5000 0.0000
0.5000 0.0000 0.0000
0.5000 0.5000 0.5000
0.0000 0.0000 0.5000
```

Offset from the most stable computed form = 2.77 eV/f.u.
Crystal system = tetragonal
Raw total energy = -5.1737 eV per atom
ΔE_f (raw) = 1.585 eV per atom

The following is a PBE-GGA calculation of a relaxed CrPCS2 crystal, from the Alexandria database.

```
CrPCS2
1.0
4.0035 0.0000 0.0000
0.0000 4.0035 0.0000
0.0000 0.0000 3.9230
Cr P C S
1 1 1 2
direct
0.0000 0.0000 0.0000
0.5000 0.5000 0.0000
0.5000 0.5000 0.5000
0.0000 0.5000 0.5000
0.5000 0.0000 0.5000
```

Offset from the most stable computed form = 0.00 eV/f.u.
Crystal system = tetragonal
Raw total energy = -5.1921 eV per atom
ΔE_f (raw) = 1.310 eV per atom

The following is a PBE-GGA calculation of a relaxed CrSiPC crystal, from the Alexandria database.

```
CrSiPC
1.0
4.2195 -1.3607 0.0000
4.2195 1.3607 0.0000
-2.3755 0.0000 3.9216
Cr Si P C
1 1 1 1
direct
0.0000 0.0000 0.0000
0.3259 0.3259 0.4620
0.6633 0.6633 0.7988
0.5103 0.5103 0.3312
```

Offset from the most stable computed form = 0.21 eV/f.u.
Crystal system = monoclinic
Raw total energy = -7.1989 eV per atom
ΔE_f (raw) = 0.221 eV per atom

The following is a PBE-GGA calculation of a relaxed CrSiPC crystal, from the Alexandria database.

```
CrSiPC
1.0
3.4844 0.0000 0.0000
0.0000 2.9218 0.0000
-1.6223 0.0000 4.2536
Cr Si P C
1 1 1 1
direct
0.0000 0.0000 0.0000
0.7035 0.0000 0.4079
0.3962 0.5000 0.7870
0.3166 0.5000 0.3606
```

Offset from the most stable computed form = 0.00 eV/f.u.
Crystal system = monoclinic
Raw total energy = -7.2525 eV per atom
ΔE_f (raw) = 0.168 eV per atom

The following is a PBE-GGA calculation of a relaxed CrSnP2C crystal, from the Alexandria database.

```
CrSnP2C
1.0
4.2638 0.0000 0.0000
0.0000 4.2638 0.0000
0.0000 0.0000 5.2218
Cr Sn P C
1 1 2 1
direct
0.0000 0.0000 0.0000
0.0000 0.0000 0.5000
0.0000 0.5000 0.0000
0.5000 0.0000 0.0000
0.5000 0.5000 0.5000
```

Crystal system = tetragonal
Raw total energy = -5.3809 eV per atom
DFT formation energy = 1.353 eV/atom

The following is a PBE-GGA calculation of a relaxed TiCr2PC crystal, from the Alexandria database.

```
TiCr2PC
1.0
3.8016 0.0000 0.0000
0.0000 3.8016 0.0000
0.0000 0.0000 4.1258
Ti Cr P C
1 2 1 1
direct
0.0000 0.0000 0.0000
0.0000 0.5000 0.5000
0.5000 0.0000 0.5000
0.5000 0.5000 0.0000
0.0000 0.0000 0.5000
```

Offset from the most stable computed form = 1.63 eV/f.u.
Crystal system = tetragonal
Raw total energy = -8.4993 eV per atom
DFT formation energy = -0.144 eV/atom